No. 1
First-principles (PBE-GGA) data for crystalline TmPd6Au23 at its relaxed geometry, as listed in Alexandria.

abc: 10.0909 10.0909 8.1390
angles: 66.22 66.22 47.57
Element x y z (fractional)
Pd: 0.7489 0.7489 0.2511
Pd: 0.2526 0.7474 0.7474
Pd: 0.2511 0.2511 0.7489
Au: 0.8831 0.3733 0.3718
Au: 0.6282 0.6282 0.6267
Au: 0.8737 0.8737 0.8767
Au: 0.1263 0.1263 0.1233
Au: 0.5000 0.0000 0.0000
Au: 0.6242 0.1233 0.1263
Au: 0.1233 0.6242 0.1263
Tm: 0.5000 0.5000 0.5000
Au: 0.5000 0.0000 0.5000
Au: 0.8737 0.8737 0.3758
Au: 0.6267 0.1169 0.6282
Pd: 0.2526 0.7474 0.2526
Au: 0.5000 0.5000 0.0000
Au: 0.1263 0.1263 0.6242
Pd: 0.7474 0.2526 0.2526
Au: 0.0000 0.0000 0.0000
Au: 0.0000 0.0000 0.5000
Au: 0.0000 0.5000 0.5000
Au: 0.3758 0.8767 0.8737
Au: 0.1169 0.6267 0.6282
Au: 0.0000 0.5000 0.0000
Au: 0.8767 0.3758 0.8737
Au: 0.3718 0.3718 0.8831
Au: 0.6282 0.6282 0.1169
Au: 0.3733 0.8831 0.3718
Pd: 0.7474 0.2526 0.7474
Au: 0.3718 0.3718 0.3733

Properties
E_tot: -3.847 eV per atom
N(E_F): 8.6 states/eV/f.u.

No. 2
First-principles (PBE-GGA) data for crystalline Pr2SbO at its relaxed geometry, as listed in Alexandria.

abc: 3.9475 3.9476 8.4422
angles: 62.15 62.15 60.07
Element x y z (fractional)
Pr: 0.2140 0.6470 0.6095
Pr: 0.1331 0.5661 0.2301
Sb: 0.6736 0.1066 0.9198
O: 0.6735 0.1066 0.4199

Properties
E_tot: -6.356 eV per atom
E_form (uncorrected): -1.696 eV/atom
N(E_F): 2.7 states/eV/f.u.

No. 3
First-principles (PBE-GGA) data for crystalline ScCdSCl2 at its relaxed geometry, as listed in Alexandria.

abc: 4.9621 4.9621 5.0874
angles: 90.00 90.00 90.00
Element x y z (fractional)
Cl: 0.0000 0.5000 0.0000
Sc: 0.0000 0.0000 0.0000
Cd: 0.5000 0.5000 0.5000
S: 0.0000 0.0000 0.5000
Cl: 0.5000 0.0000 0.0000

Properties
E_tot: -4.189 eV per atom
E_form (uncorrected): -1.176 eV/atom
N(E_F): 2.0 states/eV/f.u.

No. 4
First-principles (PBE-GGA) data for crystalline RbCuSnTe at its relaxed geometry, as listed in Alexandria.

abc: 4.3017 4.3017 14.2004
angles: 90.00 90.00 90.00
Element x y z (fractional)
Cu: 0.7500 0.2500 0.0000
Cu: 0.2500 0.7500 0.0000
Rb: 0.2500 0.2500 0.7523
Sn: 0.2500 0.7500 0.5000
Sn: 0.7500 0.2500 0.5000
Rb: 0.7500 0.7500 0.2477
Te: 0.7500 0.7500 0.8901
Te: 0.2500 0.2500 0.1099

Properties
E_tot: -3.346 eV per atom
E_form (uncorrected): -0.294 eV/atom
N(E_F): 2.5 states/eV/f.u.

| no. | total moment (μB/atom) |
| --- | --- |
| 1 | 0.0000 |
| 2 | 0.0000 |
| 3 | 0.0000 |
| 4 | 0.0000 |